[1]
{"formula": "Ho6Ag2Au", "functional": "PBE-GGA", "state": "optimized geometry", "lattice": [[4.9787, 0.0000, -0.1876], [0.0000, 7.0543, 0.0000], [-2.2011, -3.5271, 7.5495]], "species": ["Ag", "Ag", "Ho", "Ho", "Ho", "Ho", "Ho", "Ho", "Au"], "fractional_positions": [[0.3335, 0.3334, 0.6667], [0.6665, 0.6666, 0.3333], [0.8350, 0.5872, 0.6699], [0.5000, 0.7547, 0.0000], [0.1650, 0.4128, 0.3301], [0.8350, 0.0827, 0.6699], [0.1650, 0.9173, 0.3301], [0.5000, 0.2453, 0.0000], [0.0000, 0.0000, 0.0000]]}

=====

[2]
{"formula": "Ho4AgAu3", "functional": "PBE-GGA", "state": "optimized geometry", "lattice": [[3.6848, 0.0000, 0.0000], [0.0000, 4.7093, 0.0000], [0.0000, 0.0000, 10.9914]], "species": ["Ho", "Ho", "Ho", "Ho", "Ag", "Au", "Au", "Au"], "fractional_positions": [[0.0000, 0.0000, 0.1401], [0.5000, 0.0000, 0.6391], [0.0000, 0.5000, 0.8577], [0.5000, 0.5000, 0.3639], [0.5000, 0.5000, 0.0850], [0.0000, 0.5000, 0.5885], [0.0000, 0.0000, 0.4114], [0.5000, 0.0000, 0.9143]]}

=====

[3]
{"formula": "HoAg5Au8", "functional": "PBE-GGA", "state": "optimized geometry", "lattice": [[7.1367, -0.0830, 0.1427], [-2.4928, 6.6877, -0.1427], [-2.1509, -3.4225, 5.8838]], "species": ["Ag", "Ag", "Ag", "Ag", "Ag", "Au", "Au", "Au", "Au", "Au", "Au", "Au", "Au", "Ho"], "fractional_positions": [[0.0482, 0.3400, 0.1268], [0.2918, 0.0786, 0.9518], [0.8732, 0.9214, 0.2132], [0.5000, 0.0000, 0.5000], [0.7868, 0.6600, 0.7082], [0.9202, 0.0513, 0.6524], [0.5134, 0.5956, 0.2395], [0.0822, 0.7260, 0.4866], [0.6011, 0.9487, 0.8689], [0.1311, 0.7322, 0.0798], [0.6439, 0.4044, 0.9178], [0.7605, 0.2740, 0.3561], [0.3476, 0.2678, 0.3989], [0.2500, 0.5000, 0.7500]]}

=====

[4]
{"formula": "Ho3Ag2Au", "functional": "PBE-GGA", "state": "optimized geometry", "lattice": [[3.5924, 0.0000, 0.0000], [0.0000, 3.5924, 0.0000], [0.0000, 0.0000, 10.9013]], "species": ["Ag", "Ag", "Au", "Ho", "Ho", "Ho"], "fractional_positions": [[0.5000, 0.5000, 0.1662], [0.5000, 0.5000, 0.8338], [0.5000, 0.5000, 0.5000], [0.0000, 0.0000, 0.6624], [0.0000, 0.0000, 0.3376], [0.0000, 0.0000, 0.0000]]}

=====

[5]
{"formula": "Ho3Ag2Au", "functional": "PBE-GGA", "state": "optimized geometry", "lattice": [[-3.5796, -3.2320, -1.6374], [4.4619, -1.7839, 1.6882], [-2.3363, -0.3521, 5.8025]], "species": ["Ho", "Ho", "Ho", "Ag", "Ag", "Au"], "fractional_positions": [[0.3333, 0.6667, 0.1591], [0.0000, 0.0000, 0.5000], [0.6667, 0.3333, 0.8409], [0.3333, 0.6667, 0.6522], [0.6667, 0.3333, 0.3478], [0.0000, 0.0000, 0.0000]]}

=====

[6]
{"formula": "Ho4AgAu2", "functional": "PBE-GGA", "state": "optimized geometry", "lattice": [[4.7895, 0.0000, 1.4964], [2.1610, 4.2743, 1.4964], [-0.0987, -0.0607, 8.7291]], "species": ["Au", "Au", "Ag", "Ho", "Ho", "Ho", "Ho"], "fractional_positions": [[0.7535, 0.7535, 0.7395], [0.2465, 0.2465, 0.2605], [0.0000, 0.0000, 0.0000], [0.8736, 0.8736, 0.3792], [0.1264, 0.1264, 0.6208], [0.6229, 0.6229, 0.1314], [0.3771, 0.3771, 0.8686]]}

=====

[7]
{"formula": "HoAg2Au8", "functional": "PBE-GGA", "state": "optimized geometry", "lattice": [[4.1850, 0.0000, 0.0000], [0.0000, 6.6605, 0.3717], [-2.0925, -2.4352, 7.2375]], "species": ["Au", "Au", "Au", "Au", "Au", "Au", "Au", "Au", "Ho", "Ag", "Ag"], "fractional_positions": [[0.0457, 0.7233, 0.0914], [0.4063, 0.5441, 0.8125], [0.5937, 0.4559, 0.1875], [0.9543, 0.2767, 0.9086], [0.8613, 0.8137, 0.7226], [0.1387, 0.1863, 0.2774], [0.6833, 0.9150, 0.3667], [0.3167, 0.0850, 0.6333], [0.5000, 0.0000, 0.0000], [0.7752, 0.3660, 0.5505], [0.2248, 0.6340, 0.4495]]}

=====

[8]
{"formula": "Ho2Ag3Au", "functional": "PBE-GGA", "state": "optimized geometry", "lattice": [[-0.8298, 2.6605, -1.9863], [-3.0837, 1.4862, 3.2789], [5.8803, 4.4552, 3.5109]], "species": ["Ho", "Ho", "Ag", "Ag", "Ag", "Au"], "fractional_positions": [[0.0000, 0.5000, 0.0120], [0.0000, 0.0000, 0.4890], [0.5000, 0.5000, 0.6711], [0.5000, 0.0000, 0.8308], [0.5000, 0.0000, 0.1626], [0.5000, 0.5000, 0.3346]]}

=====

[9]
{"formula": "Ho3Ag2Au3", "functional": "PBE-GGA", "state": "optimized geometry", "lattice": [[3.8256, 0.0000, 0.0000], [0.0000, 6.3850, -3.6864], [0.0000, 0.0000, 7.3728]], "species": ["Ag", "Ag", "Ho", "Ho", "Ho", "Au", "Au", "Au"], "fractional_positions": [[0.0000, 0.6667, 0.3333], [0.0000, 0.3333, 0.6667], [0.5000, 0.6369, 0.0000], [0.5000, 0.3631, 0.3631], [0.5000, 0.0000, 0.6369], [0.0000, 0.0000, 0.2440], [0.0000, 0.7560, 0.7560], [0.0000, 0.2440, 0.0000]]}

=====

[10]
{"formula": "Ho3AgAu", "functional": "PBE-GGA", "state": "optimized geometry", "lattice": [[-2.7174, -2.3600, -1.0724], [3.2063, 0.2109, -8.5882], [6.3208, -6.2543, -2.2530]], "species": ["Ag", "Ag", "Ho", "Ho", "Ho", "Ho", "Ho", "Ho", "Au", "Au"], "fractional_positions": [[0.8634, 0.1940, 0.2471], [0.3633, 0.6941, 0.7464], [0.3633, 0.3440, 0.3964], [0.3633, 0.0449, 0.0969], [0.8637, 0.9950, 0.6659], [0.8637, 0.3933, 0.8264], [0.8627, 0.6133, 0.0475], [0.8627, 0.7747, 0.4452], [0.3626, 0.6945, 0.2459], [0.3637, 0.1938, 0.7466]]}

=====

[11]
{"formula": "HoAg2Au", "functional": "PBE-GGA", "state": "optimized geometry", "lattice": [[-2.1657, 1.1105, -3.4117], [-0.2511, -5.3637, 0.9914], [-6.5651, 1.1466, 4.5407]], "species": ["Ag", "Ag", "Ag", "Ag", "Ho", "Ho", "Au", "Au"], "fractional_positions": [[0.6303, 0.2610, 0.5560], [0.3697, 0.7390, 0.4440], [0.6303, 0.2610, 0.9440], [0.3697, 0.7390, 0.0560], [0.0600, 0.1204, 0.2500], [0.9400, 0.8796, 0.7500], [0.7651, 0.5303, 0.2500], [0.2349, 0.4697, 0.7500]]}

=====

[12]
{"formula": "Ho2AgAu3", "functional": "PBE-GGA", "state": "optimized geometry", "lattice": [[4.7801, 0.0000, 0.0000], [0.0000, 7.6048, 0.0000], [-2.3900, -3.8024, 7.0993]], "species": ["Au", "Au", "Au", "Au", "Au", "Au", "Ag", "Ag", "Ho", "Ho", "Ho", "Ho"], "fractional_positions": [[0.8246, 0.5746, 0.6491], [0.1754, 0.4254, 0.3509], [0.8246, 0.0746, 0.6491], [0.5000, 0.7500, 0.0000], [0.1754, 0.9254, 0.3509], [0.5000, 0.2500, 0.0000], [0.0000, 0.5000, 0.0000], [0.0000, 0.0000, 0.0000], [0.3426, 0.3426, 0.6851], [0.6575, 0.1574, 0.3149], [0.3425, 0.8426, 0.6851], [0.6574, 0.6574, 0.3149]]}

=====

no.,formation enthalpy at 0 K (eV/atom)
1,-0.13
2,-0.74
3,-0.08
4,-0.52
5,-0.52
6,-0.54
7,-0.27
8,-0.39
9,-0.57
10,-0.26
11,-0.39
12,-0.62